[1]
Computed, not measured: NbZn2PdCl after structural relaxation at the PBE level of DFT.

a b c (Å): 4.8020 4.8020 4.8667
angles (deg): 90.00 90.00 90.00
Last column: nearest neighbours and their distance in Å.
Positions (direct):
Nb: 0.0000 0.0000 0.0000  4 Cl 3.40, 8 Zn 3.42
Zn: 0.0000 0.5000 0.5000  2 Pd 2.40
Zn: 0.5000 0.0000 0.5000  2 Pd 2.40
Pd: 0.5000 0.5000 0.5000  4 Zn 2.40, 2 Cl 2.43
Cl: 0.5000 0.5000 0.0000  2 Pd 2.43

Theoretical density (g cm⁻³): 5.4
Total DFT energy (no corrections) (eV/atom): -3.190
Spin magnetization (μB per cell): 3.7
Formation energy (no corrections) (eV per atom): 0.741
SG: P4/mmm, No. 123

[2]
Computed, not measured: Cu2OsW after structural relaxation at the PBE level of DFT.

a b c (Å): 4.6315 4.6315 4.6723
angles (deg): 99.00 99.00 34.08
Last column: nearest neighbours and their distance in Å.
Positions (direct):
Cu: 0.0000 0.0000 0.0000  5 Cu 2.57-2.71, 4 Os 2.68-2.72, 3 W 2.75-2.77
Cu: 0.7477 0.7477 0.2063  5 Cu 2.57-2.71, 4 W 2.68-2.73, 3 Os 2.72-2.80
Os: 0.4933 0.4933 0.4924  3 W 2.55-2.69, 7 Cu 2.68-2.80, 2 Os 2.71
W: 0.2476 0.2476 0.7127  3 Os 2.55-2.69, 7 Cu 2.68-2.77, 2 W 2.71

Theoretical density (g cm⁻³): 15.0
Relative energy among the computed polymorphs (eV per atom): 0.085
Total DFT energy (no corrections) (eV/atom): -7.787
Spin magnetization (μB per cell): 0.0
SG: Cm, No. 8

[3]
Computed, not measured: TaIrBr2 after structural relaxation at the PBE level of DFT.

a b c (Å): 3.2103 3.2103 9.2125
angles (deg): 90.00 90.00 124.28
Last column: nearest neighbours and their distance in Å.
Positions (direct):
Ta: 0.0000 0.0000 0.0000  4 Br 2.66
Ir: 0.0000 0.0000 0.5000  4 Br 2.84, 2 Ir 3.00
Br: 0.5000 0.5000 0.2384  2 Ta 2.66, 2 Ir 2.84
Br: 0.5000 0.5000 0.7616  2 Ta 2.66, 2 Ir 2.84

Theoretical density (g cm⁻³): 11.3
Relative energy among the computed polymorphs (eV per atom): 1.278
Total DFT energy (no corrections) (eV/atom): -5.172
Spin magnetization (μB per cell): 0.0
Formation energy (no corrections) (eV per atom): 0.843
SG: Cmmm, No. 65

[4]
Computed, not measured: PtPb6Au after structural relaxation at the PBE level of DFT.

a b c (Å): 4.3651 7.3140 7.3140
angles (deg): 73.27 90.00 90.00
Last column: nearest neighbours and their distance in Å.
Positions (direct):
Pt: 0.0000 0.0000 0.0000  8 Pb 2.89-3.08
Pb: 0.0000 0.1463 0.5607  2 Au 3.01, 1 Pt 3.08, 2 Pb 3.37
Pb: 0.0000 0.5607 0.1463  2 Au 3.01, 1 Pt 3.08, 2 Pb 3.37
Pb: 0.0000 0.6148 0.6148  2 Au 2.99
Pb: 0.5000 0.2917 0.9103  2 Pt 2.99, 1 Au 3.29, 1 Pb 3.33
Pb: 0.5000 0.8382 0.8382  2 Pt 2.89
Pb: 0.5000 0.9103 0.2917  2 Pt 2.99, 1 Au 3.29, 1 Pb 3.33
Au: 0.5000 0.4405 0.4405  8 Pb 2.99-3.29

Theoretical density (g cm⁻³): 12.1
Relative energy among the computed polymorphs (eV per atom): 0.000
Total DFT energy (no corrections) (eV/atom): -4.007
Spin magnetization (μB per cell): 0.0
SG: Amm2, No. 38

[5]
Computed, not measured: Si2TcPb after structural relaxation at the PBE level of DFT.

a b c (Å): 4.3241 4.3241 6.1784
angles (deg): 100.87 100.87 44.38
Last column: nearest neighbours and their distance in Å.
Positions (direct):
Si: 0.2283 0.2283 0.1427  3 Tc 2.48-2.51, 2 Si 2.48
Si: 0.7717 0.7717 0.8573  3 Tc 2.48-2.51, 2 Si 2.48
Tc: 0.5000 0.5000 0.0000  6 Si 2.48-2.51
Pb: 0.0000 0.0000 0.5000  6 Si 3.14-3.21, 2 Pb 3.27, 4 Tc 3.49

Theoretical density (g cm⁻³): 7.6
Total DFT energy (no corrections) (eV/atom): -6.095
Spin magnetization (μB per cell): 0.0
Formation energy (no corrections) (eV per atom): 0.135
SG: C2/m, No. 12

[6]
Computed, not measured: LiAcCdHg2 after structural relaxation at the PBE level of DFT.

a b c (Å): 5.7407 7.0183 6.4529
angles (deg): 90.00 90.00 90.00
Last column: nearest neighbours and their distance in Å.
Positions (direct):
Li: 0.0000 0.0000 0.0000  2 Cd 2.81, 4 Hg 2.85, 2 Li 2.87
Li: 0.5000 0.0000 0.0000  2 Cd 2.81, 4 Hg 2.85, 2 Li 2.87
Ac: 0.2500 0.5000 0.2294  8 Hg 3.34-3.72, 2 Cd 3.63
Ac: 0.7500 0.5000 0.7706  8 Hg 3.34-3.72, 2 Cd 3.63
Cd: 0.2500 0.0000 0.3745  2 Li 2.81, 2 Hg 2.98
Cd: 0.7500 0.0000 0.6255  2 Li 2.81, 2 Hg 2.98
Hg: 0.2500 0.2579 0.7421  2 Li 2.85, 1 Cd 2.98
Hg: 0.2500 0.7421 0.7421  2 Li 2.85, 1 Cd 2.98
Hg: 0.7500 0.2579 0.2579  2 Li 2.85, 1 Cd 2.98
Hg: 0.7500 0.7421 0.2579  2 Li 2.85, 1 Cd 2.98

Theoretical density (g cm⁻³): 9.5
Total DFT energy (no corrections) (eV/atom): -1.834
Spin magnetization (μB per cell): 0.0
SG: Pmma, No. 51

- total DFT energy (no corrections) of number 5 (Si2TcPb)?
  -6.095 eV/atom